Material: Li6SnGe
Method: DFT, PBE-GGA
State: optimized geometry

Cell lengths 4.600, 5.882, 5.882 Å; angles 119.97, 90.00, 90.00 degrees
Fractional coordinates of all 8 atoms:
Sn 0.000 0.083 0.917
Li 0.500 0.921 0.593
Li 0.000 0.571 0.891
Li 0.500 0.407 0.079
Li 0.000 0.109 0.429
Li 0.000 0.571 0.429
Li 0.500 0.921 0.079
Ge 0.500 0.417 0.583

E_form ... -283 meV/atom
Polymorph energy (0 for the lowest one) ... 0.065 eV/atom